Material: LaIrAu
Method: DFT, PBE
State: relaxed

Structure (extended XYZ):
```
3
Lattice="0.0000 3.4038 3.4038 3.4038 0.0000 3.4038 3.4038 3.4038 0.0000" Properties=species:S:1:pos:R:3 pbc="T T T"
La 0.0000 0.0000 0.0000
Ir 1.7019 1.7019 1.7019
Au 5.1057 5.1057 5.1057
```

- Total DFT energy (no corrections): -16.7 eV per cell
- ΔE_f: 2.4 kcal/mol of atoms
- Polymorph energy (0 for the lowest one): 44.1 kJ per mole of atoms
- SG: F-43m (216)

***

Material: La3Mg3IrAu2
Method: DFT, PBE
State: relaxed

Structure (extended XYZ):
```
9
Lattice="7.6791 0.0000 0.0000 -3.8395 6.6503 0.0000 0.0000 0.0000 4.3434" Properties=species:S:1:pos:R:3 pbc="T T T"
La -1.5257 2.6426 0.0000
La 3.0514 0.0000 0.0000
La 2.3139 4.0077 0.0000
Mg -2.9493 5.1084 2.1717
Mg 0.8902 1.5419 2.1717
Mg 5.8987 0.0000 2.1717
Ir 0.0000 0.0000 0.0000
Au 0.0000 4.4335 2.1717
Au 3.8396 2.2168 2.1717
```

- Total DFT energy (no corrections): -40.6 eV per cell
- SG: P-62m (189)

***

Material: La2Mg4IrAu
Method: DFT, PBE
State: relaxed

Structure (extended XYZ):
```
8
Lattice="8.3946 0.0000 0.0000 0.0000 2.1599 5.2513 0.0000 -2.1599 5.2513" Properties=species:S:1:pos:R:3 pbc="T T T"
La 0.0000 0.0000 0.0000
La 4.1973 0.0000 1.3025
Mg 1.7119 0.0000 7.4994
Mg 2.6188 0.0000 4.2804
Mg 5.7758 0.0000 4.2804
Mg 6.6828 0.0000 7.4994
Ir 4.1973 0.0000 8.7824
Au 0.0000 0.0000 3.0417
```

- Total DFT energy (no corrections): -32.2 eV per cell
- SG: Amm2 (38)

***

Material: LaNd2Mg3Ir2Au
Method: DFT, PBE
State: relaxed

Structure (extended XYZ):
```
9
Lattice="4.1157 0.0000 0.0000 0.0000 6.5445 3.8205 0.0000 -6.5445 3.8205" Properties=species:S:1:pos:R:3 pbc="T T T"
La 0.0000 0.0000 0.0000
Nd 0.0000 -2.7495 4.8504
Nd 0.0000 2.7495 4.8504
Mg 2.0579 -1.6475 2.3042
Mg 2.0579 1.6475 2.3042
Mg 2.0579 0.0000 5.1212
Ir 2.0579 -4.3764 3.2589
Ir 2.0579 4.3764 3.2589
Au 0.0000 0.0000 3.2586
```

- Total DFT energy (no corrections): -45.8 eV per cell
- SG: Amm2 (38)

***

Material: La2NdMg3Ir2Au
Method: DFT, PBE
State: relaxed

Structure (extended XYZ):
```
9
Lattice="4.1342 0.0000 0.0000 0.0000 6.6426 3.7918 0.0000 -6.6426 3.7918" Properties=species:S:1:pos:R:3 pbc="T T T"
La 0.0000 -3.8253 3.7918
La 0.0000 3.8253 3.7918
Nd 0.0000 0.0000 4.7943
Mg 2.0671 -1.6232 2.5576
Mg 2.0671 1.6232 2.5576
Mg 2.0671 0.0000 7.2954
Ir 2.0671 -2.2267 5.4176
Ir 2.0671 2.2267 5.4176
Au 0.0000 0.0000 1.6270
```

- Total DFT energy (no corrections): -46.1 eV per cell
- SG: Amm2 (38)

***

Material: LaPr2Mg3Ir2Au
Method: DFT, PBE
State: relaxed

Structure (extended XYZ):
```
9
Lattice="4.1307 0.0000 0.0000 0.0000 6.5636 3.8336 0.0000 -6.5636 3.8336" Properties=species:S:1:pos:R:3 pbc="T T T"
La 0.0000 0.0000 0.0000
Pr 0.0000 -2.7596 4.8673
Pr 0.0000 2.7596 4.8673
Mg 2.0654 -1.6440 2.3091
Mg 2.0654 1.6440 2.3091
Mg 2.0654 0.0000 5.1383
Ir 2.0654 -4.4019 3.2734
Ir 2.0654 4.4019 3.2734
Au 0.0000 0.0000 3.2627
```

- Total DFT energy (no corrections): -45.7 eV per cell
- SG: Amm2 (38)

***

Material: LaSi2IrAu
Method: DFT, PBE
State: relaxed

Structure (extended XYZ):
```
5
Lattice="-2.1338 2.1338 5.1293 2.1338 -2.1338 5.1293 2.1338 2.1338 -5.1293" Properties=species:S:1:pos:R:3 pbc="T T T"
La 0.0000 0.0000 0.0000
Si 0.0000 0.0000 3.9122
Si 0.0000 0.0000 6.3464
Ir 0.0000 2.1338 2.5647
Au 2.1338 0.0000 2.5647
```

- Total DFT energy (no corrections): -31.4 eV per cell
- SG: I-4m2 (119)

***

Material: La2Zn4IrAu
Method: DFT, PBE
State: relaxed

Structure (extended XYZ):
```
8
Lattice="7.3870 0.0000 0.0000 0.0000 2.1951 5.0434 0.0000 -2.1951 5.0434" Properties=species:S:1:pos:R:3 pbc="T T T"
La 0.0000 0.0000 0.0000
La 3.6935 0.0000 1.4913
Zn 1.4784 0.0000 7.2245
Zn 2.3225 0.0000 4.4106
Zn 5.0645 0.0000 4.4106
Zn 5.9086 0.0000 7.2245
Ir 3.6935 0.0000 8.7399
Au 0.0000 0.0000 2.9374
```

- Total DFT energy (no corrections): -31.2 eV per cell
- ΔE_f: -12.0 kcal/mol of atoms
- SG: Amm2 (38)

***

Material: LiIrAu2
Method: DFT, PBE
State: relaxed

Structure (extended XYZ):
```
4
Lattice="0.0000 3.1682 3.1682 3.1682 0.0000 3.1682 3.1682 3.1682 0.0000" Properties=species:S:1:pos:R:3 pbc="T T T"
Li 0.0000 0.0000 0.0000
Ir 1.5841 1.5841 1.5841
Au 3.1682 3.1682 3.1682
Au 4.7524 4.7524 4.7524
```

- Total DFT energy (no corrections): -16.7 eV per cell
- SG: F-43m (216)

***

Material: Li6IrAu
Method: DFT, PBE
State: relaxed

Structure (extended XYZ):
```
8
Lattice="4.2745 0.0000 0.0000 0.0000 4.2745 0.0000 0.0000 0.0000 6.0277" Properties=species:S:1:pos:R:3 pbc="T T T"
Li 0.0000 0.0000 0.0000
Li 0.0000 2.1373 1.4305
Li 0.0000 2.1373 4.5972
Li 2.1373 0.0000 1.4305
Li 2.1373 0.0000 4.5972
Li 2.1373 2.1373 3.0139
Ir 2.1373 2.1373 0.0000
Au 0.0000 0.0000 3.0139
```

- Total DFT energy (no corrections): -25.2 eV per cell
- SG: P4/mmm (123)

***

Material: LiIrAu
Method: DFT, PBE
State: relaxed

Structure (extended XYZ):
```
3
Lattice="0.0000 2.8405 2.8405 2.8405 0.0000 2.8405 2.8405 2.8405 0.0000" Properties=species:S:1:pos:R:3 pbc="T T T"
Li 0.0000 0.0000 0.0000
Ir 1.4202 1.4202 1.4202
Au 4.2607 4.2607 4.2607
```

- Total DFT energy (no corrections): -12.7 eV per cell
- Polymorph energy (0 for the lowest one): 0.0 kJ per mole of atoms
- SG: F-43m (216)

***

Material: Li2Mg2Zn2IrAu
Method: DFT, PBE
State: relaxed

Structure (extended XYZ):
```
8
Lattice="4.4198 0.0000 0.0000 0.0000 4.4198 0.0000 0.0000 0.0000 6.3284" Properties=species:S:1:pos:R:3 pbc="T T T"
Li 0.0000 0.0000 0.0000
Li 2.2099 2.2099 3.1642
Mg 0.0000 2.2099 4.6812
Mg 2.2099 0.0000 1.6472
Zn 0.0000 2.2099 1.7062
Zn 2.2099 0.0000 4.6222
Ir 0.0000 0.0000 3.1642
Au 2.2099 2.2099 0.0000
```

- Total DFT energy (no corrections): -24.8 eV per cell
- SG: P-4m2 (115)

***

Material: LiIrAuO3
Method: DFT, PBE
State: relaxed

Structure (extended XYZ):
```
24
Lattice="12.7915 0.0000 0.0000 0.0000 3.2968 0.0000 0.0000 0.0000 7.4618" Properties=species:S:1:pos:R:3 pbc="T T T"
Li 2.7385 0.8242 0.7296
Li 3.6573 2.4726 4.4605
Li 9.1343 0.8242 3.0013
Li 10.0530 2.4726 6.7322
Ir 0.7140 2.4726 6.9092
Ir 5.6818 0.8242 3.1783
Ir 7.1098 2.4726 4.2835
Ir 12.0775 0.8242 0.5526
Au 0.5259 2.4726 2.7644
Au 5.8699 0.8242 6.4953
Au 6.9217 2.4726 0.9665
Au 12.2656 0.8242 4.6974
O 1.8221 2.4726 1.0448
O 2.2341 2.4726 5.6420
O 2.3382 0.8242 6.2408
O 4.0576 2.4726 2.5099
O 4.1617 0.8242 1.9111
O 4.5736 0.8242 4.7757
O 8.2179 2.4726 2.6861
O 8.6299 2.4726 5.5507
O 8.7340 0.8242 4.9519
O 10.4534 2.4726 1.2210
O 10.5574 0.8242 1.8198
O 10.9694 0.8242 6.4170
```

- Total DFT energy (no corrections): -116.7 eV per cell
- SG: Pnma (62)

***

Material: Li4IrPb2Au
Method: DFT, PBE
State: relaxed

Structure (extended XYZ):
```
8
Lattice="4.6151 0.0000 0.0000 0.0000 4.6151 0.0000 0.0000 0.0000 6.5743" Properties=species:S:1:pos:R:3 pbc="T T T"
Li 0.0000 0.0000 0.0000
Li 0.0000 2.3075 1.6145
Li 2.3075 0.0000 4.9598
Li 2.3075 2.3075 3.2872
Ir 2.3075 2.3075 0.0000
Pb 0.0000 2.3075 5.0566
Pb 2.3075 0.0000 1.5177
Au 0.0000 0.0000 3.2872
```

- Total DFT energy (no corrections): -29.4 eV per cell
- SG: P-4m2 (115)

***

Material: LiIrAu3S4
Method: DFT, PBE
State: relaxed

Structure (extended XYZ):
```
9
Lattice="6.0024 0.0000 0.0000 0.0000 6.0024 0.0000 0.0000 0.0000 6.0024" Properties=species:S:1:pos:R:3 pbc="T T T"
Li 0.0000 0.0000 0.0000
Ir 3.0012 3.0012 3.0012
Au 0.0000 3.0012 3.0012
Au 3.0012 0.0000 3.0012
Au 3.0012 3.0012 0.0000
S 1.6393 1.6393 1.6393
S 1.6393 4.3632 4.3632
S 4.3632 1.6393 4.3632
S 4.3632 4.3632 1.6393
```

- Total DFT energy (no corrections): -35.6 eV per cell
- SG: P-43m (215)

***

Material: LiIrAuS3
Method: DFT, PBE
State: relaxed

Structure (extended XYZ):
```
12
Lattice="1.7376 -6.7609 0.0000 1.7376 6.7609 0.0000 0.0000 0.0000 9.3110" Properties=species:S:1:pos:R:3 pbc="T T T"
Li 1.7376 4.2139 6.9832
Li 1.7376 -4.2139 2.3277
Ir 1.7376 0.0000 0.0000
Ir 1.7376 0.0000 4.6555
Au 1.7376 4.6477 2.3277
Au 1.7376 -4.6477 6.9832
S 1.7376 5.0978 0.0702
S 1.7376 5.0978 4.5853
S 1.7376 0.6627 2.3277
S 1.7376 -0.6627 6.9832
S 1.7376 -5.0978 4.7257
S 1.7376 -5.0978 9.2408
```

- Total DFT energy (no corrections): -56.9 eV per cell
- SG: Cmcm (63)

***

Material: LiIrAuSe2S
Method: DFT, PBE
State: relaxed

Structure (extended XYZ):
```
12
Lattice="1.8143 -6.9020 0.0000 1.8143 6.9020 0.0000 0.0000 0.0000 9.5352" Properties=species:S:1:pos:R:3 pbc="T T T"
Li 1.8143 4.2899 7.1514
Li 1.8143 -4.2899 2.3838
Ir 1.8143 0.0000 0.0000
Ir 1.8143 0.0000 4.7676
Au 1.8143 4.6756 2.3838
Au 1.8143 -4.6756 7.1514
Se 1.8143 5.1529 0.0216
Se 1.8143 5.1529 4.7460
Se 1.8143 -5.1529 4.7892
Se 1.8143 -5.1529 9.5136
S 1.8143 0.6279 2.3838
S 1.8143 -0.6279 7.1514
```

- Total DFT energy (no corrections): -53.7 eV per cell
- SG: Cmcm (63)

***

Material: LiIrAuSe3
Method: DFT, PBE
State: relaxed

Structure (extended XYZ):
```
12
Lattice="1.8169 -6.9121 0.0000 1.8169 6.9121 0.0000 0.0000 0.0000 9.8740" Properties=species:S:1:pos:R:3 pbc="T T T"
Li 1.8169 4.0921 7.4055
Li 1.8169 -4.0921 2.4685
Ir 1.8169 0.0000 0.0000
Ir 1.8169 0.0000 4.9370
Au 1.8169 4.8125 2.4685
Au 1.8169 -4.8125 7.4055
Se 1.8169 5.1582 0.0606
Se 1.8169 5.1582 4.8764
Se 1.8169 0.7107 2.4685
Se 1.8169 -0.7107 7.4055
Se 1.8169 -5.1582 4.9976
Se 1.8169 -5.1582 9.8134
```

- Total DFT energy (no corrections): -52.8 eV per cell
- SG: Cmcm (63)

***

Material: LiTe2IrAuSe
Method: DFT, PBE
State: relaxed

Structure (extended XYZ):
```
12
Lattice="1.9398 -7.0934 0.0000 1.9398 7.0934 0.0000 0.0000 0.0000 10.2207" Properties=species:S:1:pos:R:3 pbc="T T T"
Li 1.9398 4.2396 7.6655
Li 1.9398 -4.2396 2.5552
Te 1.9398 5.2591 0.0131
Te 1.9398 5.2591 5.0972
Te 1.9398 -5.2591 5.1235
Te 1.9398 -5.2591 10.2075
Ir 1.9398 0.0000 0.0000
Ir 1.9398 0.0000 5.1103
Au 1.9398 4.7959 2.5552
Au 1.9398 -4.7959 7.6655
Se 1.9398 0.6902 2.5552
Se 1.9398 -0.6902 7.6655
```

- Total DFT energy (no corrections): -50.4 eV per cell
- SG: Cmcm (63)

***

Material: LiTeIrAuSe2
Method: DFT, PBE
State: relaxed

Structure (extended XYZ):
```
12
Lattice="1.8188 -7.0981 0.0000 1.8188 7.0981 0.0000 0.0000 0.0000 10.3287" Properties=species:S:1:pos:R:3 pbc="T T T"
Li 1.8188 4.0180 7.7465
Li 1.8188 -4.0180 2.5822
Te 1.8188 0.7910 2.5822
Te 1.8188 -0.7910 7.7465
Ir 1.8188 0.0000 0.0000
Ir 1.8188 0.0000 5.1644
Au 1.8188 5.0544 2.5822
Au 1.8188 -5.0544 7.7465
Se 1.8188 5.3470 0.1405
Se 1.8188 5.3470 5.0238
Se 1.8188 -5.3470 5.3049
Se 1.8188 -5.3470 10.1882
```

- Total DFT energy (no corrections): -52.2 eV per cell
- SG: Cmcm (63)